# 1
DFT (PBE) results for an optimized crystal structure of DyGa4Ni2Ru.

Lattice parameters (Å, degrees): 4.1016 4.1016 26.3456 90.00 90.00 120.00
Space group R-3m (No. 166, hexagonal axes)
One atom of each set of equivalent atoms:
Dy (0.0000, 0.0000, 0.0000)
Ga (0.0000, 0.0000, 0.1298)
Ga (0.0000, 0.0000, 0.4014)
Ni (0.0000, 0.0000, 0.2332)
Ru (0.0000, 0.0000, 0.5000)

As for the density of states at the Fermi level: 4.2 states/eV/f.u. Its energy relative to the elements is -0.4473 eV/atom.

# 2
DFT (PBE) results for an optimized crystal structure of DyGa3NiRu.

Lattice parameters (Å, degrees): 7.675 10.534 5.558 90.00 90.00 90.00
Space group Cmcm (No. 63)
One atom of each set of equivalent atoms:
Dy (0.000, 0.206, 0.250)
Ga (0.000, 0.314, 0.750)
Ga (0.248, 0.000, 0.000)
Ni (0.000, 0.463, 0.250)
Ru (0.000, 0.084, 0.750)

As for the density of states at the Fermi level: 2.6 states/eV/f.u. Its energy relative to the elements is -0.3356 eV/atom.